Here is PrC2N3 after structural relaxation from Alexandria via LeMat-Bulk. Energies are from PBE-GGA.

Formation energy without anion corrections (kJ/mol of atoms): 7
Space-group type: Cmm2 (35)

abc: 4.129 5.700 4.507
angles: 129.23 90.00 90.00
Fractional positions:
Pr  0.472  0.500  0.500
C  0.170  0.830  0.159
C  0.170  0.170  0.841
N  0.928  0.272  0.044
N  0.928  0.728  0.956
N  0.333  0.000  0.500

---

Here is GaGe2Mo2 after structural relaxation from Alexandria via LeMat-Bulk. Energies are from PBE-GGA.

E above lowest polymorph (eV per formula unit): 1.07
Space-group type: P4/mbm (127)

abc: 6.925 6.925 3.341
angles: 90.00 90.00 90.00
Fractional positions:
Mo  0.160  0.660  0.500
Mo  0.660  0.840  0.500
Mo  0.840  0.340  0.500
Mo  0.340  0.160  0.500
Ge  0.363  0.863  0.000
Ge  0.863  0.637  0.000
Ge  0.637  0.137  0.000
Ge  0.137  0.363  0.000
Ga  0.000  0.000  0.000
Ga  0.500  0.500  0.000

---

Here is Ga2SI after structural relaxation from Alexandria via LeMat-Bulk. Energies are from PBE-GGA.

Formation energy without anion corrections (kJ/mol of atoms): 8
E above lowest polymorph (eV per formula unit): 1.02
Space-group type: Fm-3m (225)

abc: 5.151 5.151 5.151
angles: 60.00 60.00 60.00
Fractional positions:
I  0.500  0.500  0.500
S  0.000  0.000  0.000
Ga  0.250  0.250  0.250
Ga  0.750  0.750  0.750

---

Here is TbNd4Sc2 after structural relaxation from Alexandria via LeMat-Bulk. Energies are from PBE-GGA.

E above lowest polymorph (eV per formula unit): 0.92
Space-group type: P2_1/m (11)

abc: 8.788 6.393 9.171
angles: 90.00 119.19 90.00
Fractional positions:
Tb  0.240  0.750  0.194
Tb  0.760  0.250  0.806
Nd  0.614  0.503  0.230
Nd  0.002  0.750  0.776
Nd  0.998  0.250  0.224
Nd  0.614  0.997  0.230
Nd  0.949  0.250  0.575
Nd  0.386  0.003  0.770
Nd  0.386  0.497  0.770
Nd  0.051  0.750  0.425
Sc  0.797  0.750  0.998
Sc  0.203  0.250  0.002
Sc  0.424  0.250  0.432
Sc  0.576  0.750  0.568

---

Here is LiWCl4 after structural relaxation from Alexandria via LeMat-Bulk. Energies are from PBE-GGA.

Formation energy without anion corrections (kJ/mol of atoms): 95
E above lowest polymorph (eV per formula unit): 11.72
Space-group type: F-43m (216)

abc: 5.885 5.885 5.885
angles: 60.00 60.00 60.00
Fractional positions:
Li  0.750  0.750  0.750
W  0.000  0.000  0.000
Cl  0.876  0.375  0.375
Cl  0.375  0.375  0.876
Cl  0.375  0.876  0.375
Cl  0.375  0.375  0.375

---

Here is Cs2CdRh after structural relaxation from Alexandria via LeMat-Bulk. Energies are from PBE-GGA.

Space-group type: I-42d (122)

abc: 10.728 10.728 8.067
angles: 48.32 48.32 90.00
Fractional positions:
Cs  0.503  0.125  0.250
Cs  0.247  0.625  0.250
Cs  0.375  0.497  0.750
Cs  0.875  0.753  0.750
Rh  0.500  0.500  0.000
Rh  0.250  0.750  0.500
Cd  0.000  0.000  0.000
Cd  0.750  0.250  0.500

---

Number 1: DOS at the Fermi energy 0.33 states/eV per atom, uncorrected energy -7.963 eV/atom. Number 2: DOS at the Fermi energy 0.66 states/eV per atom, uncorrected energy -6.602 eV/atom. Number 3: DOS at the Fermi energy 0.53 states/eV per atom, uncorrected energy -2.854 eV/atom. Number 4: DOS at the Fermi energy 1.65 states/eV per atom, uncorrected energy -5.010 eV/atom. Number 5: DOS at the Fermi energy 0.94 states/eV per atom, uncorrected energy -2.723 eV/atom. Number 6: DOS at the Fermi energy 0.78 states/eV per atom, uncorrected energy -2.125 eV/atom.